1.
Below is a relaxed structure of Pm2GaAu2, with properties calculated at the PBE-GGA level.

Lattice parameters (Å, degrees): 4.460 7.934 7.595 90.00 107.08 90.00
Atoms (fractional coordinates):
Pm 0.965 0.737 0.931
Pm 0.788 0.347 0.576
Pm 0.212 0.847 0.424
Pm 0.035 0.237 0.069
Ga 0.400 0.099 0.801
Ga 0.600 0.599 0.199
Au 0.425 0.460 0.851
Au 0.820 0.992 0.641
Au 0.180 0.492 0.359
Au 0.575 0.960 0.149

Its total energy is -4.451 eV per atom. For the formation energy, the calculation gives -0.635 eV/atom. The energy relative to the lowest polymorph listed for this composition comes out at 0.113 eV per atom.

---

2.
Below is a relaxed structure of PmGa2Au4, with properties calculated at the PBE-GGA level.

Lattice parameters (Å, degrees): 4.564 6.822 17.800 90.00 90.00 90.00
Atoms (fractional coordinates):
Au 0.250 0.271 0.694
Au 0.750 0.729 0.306
Au 0.750 0.771 0.806
Au 0.250 0.229 0.194
Au 0.250 0.685 0.678
Au 0.750 0.315 0.322
Au 0.750 0.185 0.822
Au 0.250 0.815 0.178
Au 0.250 0.198 0.536
Au 0.750 0.802 0.464
Au 0.750 0.698 0.964
Au 0.250 0.302 0.036
Au 0.250 0.515 0.424
Au 0.750 0.485 0.576
Au 0.750 0.015 0.076
Au 0.250 0.985 0.924
Ga 0.250 0.773 0.537
Ga 0.750 0.227 0.463
Ga 0.750 0.273 0.963
Ga 0.250 0.727 0.037
Ga 0.250 0.969 0.778
Ga 0.750 0.031 0.222
Ga 0.750 0.469 0.722
Ga 0.250 0.531 0.278
Pm 0.750 0.991 0.636
Pm 0.250 0.009 0.364
Pm 0.250 0.491 0.864
Pm 0.750 0.509 0.136

Its total energy is -3.916 eV per atom. For the formation energy, the calculation gives -0.500 eV/atom. The energy relative to the lowest polymorph listed for this composition comes out at 0.000 eV per atom.